[1]
# RbWSe2S (SCAN, single point on PBEsol structure)
data_RbWSe2S
_chemical_formula_sum 'Rb1 W1 Se2 S1'
_cell_length_a 5.064
_cell_length_b 5.477
_cell_length_c 5.477
_cell_angle_alpha 90.00
_cell_angle_beta 90.00
_cell_angle_gamma 90.00
_space_group_name_H-M_alt 'P 1'
_space_group_IT_number 1
loop_
_space_group_symop_operation_xyz
'x,y,z'
loop_
_atom_site_label
_atom_site_type_symbol
_atom_site_fract_x
_atom_site_fract_y
_atom_site_fract_z
S1 S 0.500 0.000 0.000
W1 W 0.500 0.500 0.500
Rb1 Rb 0.000 0.000 0.000
Se1 Se 0.000 0.000 0.500
Se2 Se 0.000 0.500 0.000
# * space group: P4/mmm (123)
# * formation energy from raw total energies: 2278 meV per atom
# * Fermi-level density of states: 4.856 states/eV per cell

---

[2]
# Rb2WSeS (SCAN, single point on PBEsol structure)
data_Rb2WSeS
_chemical_formula_sum 'Rb2 W1 Se1 S1'
_cell_length_a 4.756
_cell_length_b 6.242
_cell_length_c 6.242
_cell_angle_alpha 90.00
_cell_angle_beta 90.00
_cell_angle_gamma 90.00
_space_group_name_H-M_alt 'P 1'
_space_group_IT_number 1
loop_
_space_group_symop_operation_xyz
'x,y,z'
loop_
_atom_site_label
_atom_site_type_symbol
_atom_site_fract_x
_atom_site_fract_y
_atom_site_fract_z
W1 W 0.500 0.500 0.500
S1 S 0.000 0.000 0.000
Rb1 Rb 0.000 0.500 0.000
Rb2 Rb 0.000 0.000 0.500
Se1 Se 0.500 0.000 0.000
# * space group: P4/mmm (123)
# * formation energy from raw total energies: 966 meV per atom
# * Fermi-level density of states: 3.415 states/eV per cell